YThFe PBE relaxed; formation energy = 85 meV per atom; E_tot = -7.3639 eV per atom
1.0
-1.714 1.714 6.300
1.714 -1.714 6.300
1.714 1.714 -6.300
Y Th Fe
1 1 1
Direct
0.000 0.000 0.000
0.264 0.264 0.000
0.642 0.642 0.000